The following is a DFT calculation (PBE) of an optimized crystal structure of KNiPdSe5.

Values from the calculation:
E	-65.0	eV/cell
SG	P2_1/m, No. 11

Structure (POSCAR):
```
KNiPdSe5
1.0
5.970 0.000 0.000
0.000 7.211 0.000
-1.589 0.000 9.053
K Ni Pd Se
2 2 2 10
direct
0.273 0.250 0.048 K
0.727 0.750 0.952 K
0.855 0.750 0.411 Ni
0.145 0.250 0.589 Ni
0.500 0.000 0.500 Pd
0.500 0.500 0.500 Pd
0.264 0.750 0.113 Se
0.694 0.007 0.281 Se
0.694 0.493 0.281 Se
0.996 0.250 0.341 Se
0.240 0.750 0.371 Se
0.760 0.250 0.629 Se
0.004 0.750 0.659 Se
0.306 0.507 0.719 Se
0.306 0.993 0.719 Se
0.736 0.250 0.887 Se
```